No. 1
Computed, not measured: a relaxed Ca2LaPm4 crystal at the PBE-GGA level of DFT.

Cell: 5.5143 25.6007 3.6026 Å, 90.00 90.00 90.00°
Space group Cmmm (No. 65)
Asymmetric unit:
Ca  0.0000  0.2109  0.0000 [4 per cell]
La  0.0000  0.5000  0.5000 [2 per cell]
Pm  0.0000  0.0706  0.0000 [4 per cell]
Pm  0.0000  0.3598  0.5000 [4 per cell]

Magnetic moment   0.0 Bohr magnetons per cell
DOS(E_F)   23.0 states/eV/cell
Excess energy over the best structure of this formula in the dataset   0.000 eV per atom



No. 2
Computed, not measured: a relaxed Ca2LaPm crystal at the PBE-GGA level of DFT.

Cell: 3.7344 3.7344 37.6312 Å, 90.00 90.00 120.00°
Space group R3m (No. 160, hexagonal axes)
Asymmetric unit:
Ca  0.0000  0.0000  0.0000 [3 per cell]
Ca  0.0000  0.0000  0.1639 [3 per cell]
La  0.0000  0.0000  0.5817 [3 per cell]
Pm  0.0000  0.0000  0.4155 [3 per cell]

Magnetic moment   0.3 Bohr magnetons per cell
DOS(E_F)   20.4 states/eV/cell
Excess energy over the best structure of this formula in the dataset   0.056 eV per atom



No. 3
Computed, not measured: a relaxed CaLa4Pm4 crystal at the PBE-GGA level of DFT.

Cell: 11.1326 11.1326 5.2664 Å, 90.00 90.00 90.00°
Space group I4/mmm (No. 139)
Asymmetric unit:
Ca  0.0000  0.0000  0.0000 [2 per cell]
La  0.1746  0.1746  0.5000 [8 per cell]
Pm  0.0000  0.3373  0.0000 [8 per cell]

Energy   -4.492 eV per atom
Magnetic moment   0.0 Bohr magnetons per cell
DOS(E_F)   27.5 states/eV/cell



No. 4
Computed, not measured: a relaxed CaLa8Pm4 crystal at the PBE-GGA level of DFT.

Cell: 11.7652 5.2943 15.2798 Å, 90.00 94.06 90.00°
Space group C2/m (No. 12)
Asymmetric unit:
Ca  0.0000  0.0000  0.0000 [2 per cell]
La  0.0413  0.5000  0.3849 [4 per cell]
La  0.0741  0.0000  0.7655 [4 per cell]
La  0.1945  0.5000  0.9199 [4 per cell]
La  0.2339  0.0000  0.3091 [4 per cell]
Pm  0.1222  0.5000  0.1596 [4 per cell]
Pm  0.1519  0.0000  0.5375 [4 per cell]

Energy   -4.618 eV per atom
Magnetic moment   0.0 Bohr magnetons per cell
DOS(E_F)   44.8 states/eV/cell



No. 5
Computed, not measured: a relaxed CaLaPm crystal at the PBE-GGA level of DFT.

Cell: 3.7639 3.7639 15.9715 Å, 90.00 90.00 90.00°
Space group I4mm (No. 107)
Asymmetric unit:
Ca  0.0000  0.0000  0.0000 [2 per cell]
La  0.0000  0.0000  0.6784 [2 per cell]
Pm  0.0000  0.0000  0.3292 [2 per cell]

Magnetic moment   0.0 Bohr magnetons per cell
DOS(E_F)   7.7 states/eV/cell
Excess energy over the best structure of this formula in the dataset   0.000 eV per atom



No. 6
Computed, not measured: a relaxed Ca2La4Pm5 crystal at the PBE-GGA level of DFT.

Cell: 18.4444 3.6609 12.0588 Å, 90.00 94.58 90.00°
Space group C2/m (No. 12)
Asymmetric unit:
Ca  0.2150  0.0000  0.3554 [4 per cell]
La  0.0351  0.5000  0.2568 [4 per cell]
La  0.1368  0.0000  0.7966 [4 per cell]
Pm  0.0000  0.0000  0.0000 [2 per cell]
Pm  0.0897  0.5000  0.5420 [4 per cell]
Pm  0.1769  0.5000  0.0626 [4 per cell]

Energy   -4.223 eV per atom
Magnetic moment   0.0 Bohr magnetons per cell
DOS(E_F)   36.6 states/eV/cell



No. 7
Computed, not measured: a relaxed CaLa14Pm crystal at the PBE-GGA level of DFT.

Cell: 7.4645 7.4645 10.5631 Å, 90.00 90.00 90.00°
Space group P4/mmm (No. 123)
Asymmetric unit:
Ca  0.0000  0.0000  0.0000 [1 per cell]
La  0.0000  0.0000  0.5000 [1 per cell]
La  0.0000  0.5000  0.0000 [2 per cell]
La  0.0000  0.5000  0.5000 [2 per cell]
La  0.2549  0.2549  0.2531 [8 per cell]
La  0.5000  0.5000  0.5000 [1 per cell]
Pm  0.5000  0.5000  0.0000 [1 per cell]

Energy   -4.720 eV per atom
Magnetic moment   0.0 Bohr magnetons per cell
DOS(E_F)   25.3 states/eV/cell



No. 8
Computed, not measured: a relaxed CaLaPm2 crystal at the PBE-GGA level of DFT.

Cell: 3.7217 3.7217 10.5673 Å, 90.00 90.00 90.00°
Space group P4/mmm (No. 123)
Asymmetric unit:
Ca  0.0000  0.0000  0.0000 [1 per cell]
La  0.0000  0.0000  0.5000 [1 per cell]
Pm  0.5000  0.5000  0.2630 [2 per cell]

Magnetic moment   0.0 Bohr magnetons per cell
DOS(E_F)   6.5 states/eV/cell
Excess energy over the best structure of this formula in the dataset   0.009 eV per atom



No. 9
Computed, not measured: a relaxed CaLa6Pm5 crystal at the PBE-GGA level of DFT.

Cell: 5.2700 10.4738 15.7955 Å, 90.00 90.00 90.00°
Space group Immm (No. 71)
Asymmetric unit:
Ca  0.0000  0.0000  0.0000 [2 per cell]
La  0.0000  0.2420  0.5000 [4 per cell]
La  0.0000  0.2527  0.1695 [8 per cell]
Pm  0.0000  0.0000  0.3330 [4 per cell]
Pm  0.0000  0.5000  0.0000 [2 per cell]
Pm  0.0000  0.5000  0.3288 [4 per cell]

Energy   -4.580 eV per atom
Magnetic moment   0.0 Bohr magnetons per cell
DOS(E_F)   40.4 states/eV/cell



No. 10
Computed, not measured: a relaxed CaLa4Pm crystal at the PBE-GGA level of DFT.

Cell: 3.6949 5.3456 11.2662 Å, 90.00 90.06 90.00°
Space group P2/m (No. 10)
Asymmetric unit:
Ca  0.0000  0.0000  0.0000 [1 per cell]
La  0.0016  0.0000  0.6651 [2 per cell]
La  0.4986  0.5000  0.1846 [2 per cell]
Pm  0.5000  0.5000  0.5000 [1 per cell]

Energy   -4.374 eV per atom
Magnetic moment   0.0 Bohr magnetons per cell
DOS(E_F)   9.5 states/eV/cell



No. 11
Computed, not measured: a relaxed Ca3La12Pm crystal at the PBE-GGA level of DFT.

Cell: 5.3067 5.3067 21.2125 Å, 90.00 90.00 90.00°
Space group P4/mmm (No. 123)
Asymmetric unit:
Ca  0.0000  0.0000  0.0000 [1 per cell]
Ca  0.0000  0.0000  0.2515 [2 per cell]
La  0.0000  0.5000  0.1260 [4 per cell]
La  0.0000  0.5000  0.3791 [4 per cell]
La  0.5000  0.5000  0.0000 [1 per cell]
La  0.5000  0.5000  0.2508 [2 per cell]
La  0.5000  0.5000  0.5000 [1 per cell]
Pm  0.0000  0.0000  0.5000 [1 per cell]

Energy   -4.320 eV per atom
Magnetic moment   0.0 Bohr magnetons per cell
DOS(E_F)   25.7 states/eV/cell



No. 12
Computed, not measured: a relaxed CaLa2Pm3 crystal at the PBE-GGA level of DFT.

Cell: 6.8544 6.8544 11.0828 Å, 90.00 90.00 120.00°
Space group P-3m1 (No. 164)
Asymmetric unit:
Ca  0.3333  0.6667  0.4359 [2 per cell]
La  0.0000  0.0000  0.0000 [1 per cell]
La  0.0000  0.0000  0.5000 [1 per cell]
La  0.3333  0.6667  0.0764 [2 per cell]
Pm  0.1710  0.3419  0.7573 [6 per cell]

Energy   -4.164 eV per atom
Magnetic moment   0.0 Bohr magnetons per cell
DOS(E_F)   21.2 states/eV/cell



No. 13
Computed, not measured: a relaxed CaLaPm14 crystal at the PBE-GGA level of DFT.

Cell: 11.8203 7.4186 12.8683 Å, 90.00 90.00 90.00°
Space group Amm2 (No. 38)
Asymmetric unit:
Ca  0.0000  0.0000  0.0000 [2 per cell]
La  0.0000  0.0000  0.4977 [2 per cell]
Pm  0.0000  0.2470  0.2503 [4 per cell]
Pm  0.2502  0.0000  0.3332 [4 per cell]
Pm  0.2518  0.0000  0.8308 [4 per cell]
Pm  0.2532  0.2464  0.5848 [8 per cell]
Pm  0.5000  0.0000  0.9999 [2 per cell]
Pm  0.5000  0.0000  0.5003 [2 per cell]
Pm  0.5000  0.2498  0.2498 [4 per cell]

Energy   -4.549 eV per atom
Magnetic moment   0.0 Bohr magnetons per cell
DOS(E_F)   53.9 states/eV/cell



No. 14
Computed, not measured: a relaxed Ca2LaPm crystal at the PBE-GGA level of DFT.

Cell: 8.4886 8.4886 8.4886 Å, 90.00 90.00 90.00°
Space group Fm-3m (No. 225)
Asymmetric unit:
Ca  0.2500  0.2500  0.2500 [8 per cell]
La  0.0000  0.0000  0.0000 [4 per cell]
Pm  0.0000  0.0000  0.5000 [4 per cell]

Magnetic moment   0.0 Bohr magnetons per cell
DOS(E_F)   24.3 states/eV/cell
Excess energy over the best structure of this formula in the dataset   0.089 eV per atom



No. 15
Computed, not measured: a relaxed CaLaPm2 crystal at the PBE-GGA level of DFT.

Cell: 8.3699 8.3699 8.3699 Å, 90.00 90.00 90.00°
Space group Fm-3m (No. 225)
Asymmetric unit:
Ca  0.0000  0.0000  0.0000 [4 per cell]
La  0.0000  0.0000  0.5000 [4 per cell]
Pm  0.2500  0.2500  0.2500 [8 per cell]

Magnetic moment   0.8 Bohr magnetons per cell
DOS(E_F)   32.0 states/eV/cell
Excess energy over the best structure of this formula in the dataset   0.107 eV per atom



No. 16
Computed, not measured: a relaxed CaLa6Pm crystal at the PBE-GGA level of DFT.

Cell: 5.2920 5.2920 10.5490 Å, 90.00 90.00 90.00°
Space group P4/mmm (No. 123)
Asymmetric unit:
Ca  0.0000  0.0000  0.0000 [1 per cell]
La  0.0000  0.5000  0.2569 [4 per cell]
La  0.5000  0.5000  0.0000 [1 per cell]
La  0.5000  0.5000  0.5000 [1 per cell]
Pm  0.0000  0.0000  0.5000 [1 per cell]

Energy   -4.509 eV per atom
Magnetic moment   0.0 Bohr magnetons per cell
DOS(E_F)   12.4 states/eV/cell



No. 17
Computed, not measured: a relaxed CaLa8Pm3 crystal at the PBE-GGA level of DFT.

Cell: 6.8464 11.5325 11.8919 Å, 90.00 90.00 90.00°
Space group Immm (No. 71)
Asymmetric unit:
Ca  0.0000  0.0000  0.0000 [2 per cell]
La  0.0000  0.1774  0.2500 [8 per cell]
La  0.2244  0.2809  0.0000 [8 per cell]
Pm  0.0000  0.0000  0.5000 [2 per cell]
Pm  0.0000  0.5000  0.2272 [4 per cell]

Energy   -4.360 eV per atom
Magnetic moment   0.0 Bohr magnetons per cell
DOS(E_F)   35.6 states/eV/cell



No. 18
Computed, not measured: a relaxed CaLaPm4 crystal at the PBE-GGA level of DFT.

Cell: 3.6794 5.2479 11.1223 Å, 90.00 90.00 90.00°
Space group Pmmm (No. 47)
Asymmetric unit:
Ca  0.0000  0.0000  0.0000 [1 per cell]
La  0.5000  0.5000  0.5000 [1 per cell]
Pm  0.0000  0.0000  0.3353 [2 per cell]
Pm  0.5000  0.5000  0.1764 [2 per cell]

Magnetic moment   0.0 Bohr magnetons per cell
DOS(E_F)   10.1 states/eV/cell
Excess energy over the best structure of this formula in the dataset   0.000 eV per atom



No. 19
Computed, not measured: a relaxed CaLa5Pm4 crystal at the PBE-GGA level of DFT.

Cell: 3.7193 3.7193 26.4217 Å, 90.00 90.00 90.00°
Space group P4/mmm (No. 123)
Asymmetric unit:
Ca  0.0000  0.0000  0.0000 [1 per cell]
La  0.5000  0.5000  0.1087 [2 per cell]
La  0.5000  0.5000  0.3036 [2 per cell]
La  0.5000  0.5000  0.5000 [1 per cell]
Pm  0.0000  0.0000  0.2042 [2 per cell]
Pm  0.0000  0.0000  0.4019 [2 per cell]

Energy   -4.539 eV per atom
Magnetic moment   0.0 Bohr magnetons per cell
DOS(E_F)   16.1 states/eV/cell



No. 20
Computed, not measured: a relaxed CaLaPm4 crystal at the PBE-GGA level of DFT.

Cell: 9.6698 9.6698 9.6698 Å, 90.00 90.00 90.00°
Space group F-43m (No. 216)
Asymmetric unit:
Ca  0.0000  0.0000  0.0000 [4 per cell]
La  0.2500  0.2500  0.2500 [4 per cell]
Pm  0.1240  0.1240  0.6240 [16 per cell]

Magnetic moment   0.0 Bohr magnetons per cell
DOS(E_F)   31.7 states/eV/cell
Excess energy over the best structure of this formula in the dataset   0.144 eV per atom



No. 21
Computed, not measured: a relaxed CaLa2Pm6 crystal at the PBE-GGA level of DFT.

Cell: 7.0626 8.9919 10.9491 Å, 102.08 105.10 96.48°
Space group P-1 (No. 2)
Asymmetric unit:
Ca  0.1039  0.3346  0.4053 [2 per cell]
La  0.2633  0.9742  0.2084 [2 per cell]
La  0.4111  0.6609  0.0063 [2 per cell]
Pm  0.1012  0.3352  0.0675 [2 per cell]
Pm  0.1079  0.3249  0.7444 [2 per cell]
Pm  0.2557  0.9900  0.8770 [2 per cell]
Pm  0.2583  0.9719  0.5379 [2 per cell]
Pm  0.4193  0.6675  0.3502 [2 per cell]
Pm  0.4251  0.6676  0.6852 [2 per cell]

Energy   -4.416 eV per atom
Magnetic moment   0.0 Bohr magnetons per cell
DOS(E_F)   32.3 states/eV/cell



No. 22
Computed, not measured: a relaxed CaLa2Pm9 crystal at the PBE-GGA level of DFT.

Cell: 11.6860 11.6860 3.5986 Å, 90.00 90.00 120.00°
Space group P6/mmm (No. 191)
Asymmetric unit:
Ca  0.0000  0.0000  0.0000 [1 per cell]
La  0.3333  0.6667  0.0000 [2 per cell]
Pm  0.0000  0.5000  0.0000 [3 per cell]
Pm  0.1747  0.3493  0.5000 [6 per cell]

Energy   -4.487 eV per atom
Magnetic moment   0.0 Bohr magnetons per cell
DOS(E_F)   18.2 states/eV/cell